{"formula": "RbBiS2N", "functional": "PBE", "state": "optimized geometry", "e_above_lowest_polymorph_mev_per_atom": 1280.3, "formation_energy_uncorrected_ev_per_atom": 1.643, "cell": [[5.6108, 0.0000, 0.0000], [0.0000, 5.6108, 0.0000], [0.0000, 0.0000, 4.4363]], "species": ["S", "S", "Bi", "Rb", "N"], "frac_coords": [[0.0000, 0.5000, 0.0000], [0.5000, 0.0000, 0.0000], [0.5000, 0.5000, 0.5000], [0.0000, 0.0000, 0.0000], [0.0000, 0.0000, 0.5000]]}